A relaxed Dy4Zn2Hg5 crystal, computed with GGA-PBE.

Structure (POSCAR):
```
Dy4Zn2Hg5
1.0
7.6856 0.0000 0.0000
0.0000 3.6650 0.0000
-0.2944 0.0000 9.4445
Dy Zn Hg
4 2 5
Cartesian
1.3498 0.0000 3.4481
1.6774 0.0000 8.6887
5.7138 0.0000 0.7557
6.0415 0.0000 5.9964
0.4401 1.8325 1.1765
6.9511 1.8325 8.2680
0.9923 1.8325 6.0696
3.2536 1.8325 1.6036
3.6956 1.8325 4.7222
4.1376 1.8325 7.8409
6.3989 1.8325 3.3748
```

Summary:
Its energy of formation from the pure elements is -4.11 eV/f.u. The density is 11134 kg/m3.

A relaxed Dy3ErSc8 crystal, computed with GGA-PBE.

Structure (POSCAR):
```
Dy3ErSc8
1.0
-2.9592 5.2998 5.4748
2.9592 -5.2998 5.4748
2.9592 5.2998 -5.4748
Dy Er Sc
3 1 8
Cartesian
0.0000 0.0000 0.0000
2.9592 2.6616 0.0000
0.0000 2.6382 5.4748
0.0000 5.2998 0.0000
2.9592 -2.6470 3.5541
1.4832 5.2998 -2.7276
1.4760 0.0000 2.7472
0.0000 2.6528 1.9207
2.9592 2.6470 3.5541
1.4832 5.2998 2.7276
1.4760 0.0000 8.2024
0.0000 7.9468 1.9207
```

Summary:
Its energy of formation from the pure elements is 3.51 eV/f.u. The density is 4904 kg/m3.